{"formula": "LaMoAs2O", "functional": "GGA+U", "state": "optimized geometry", "space_group": "No. 123", "energy_ev_per_atom": -3.3622, "n_ef_per_ev_atom": 0.96, "crystal_system": "tetragonal", "lattice": [[5.551, 0.000, 0.000], [0.000, 5.551, 0.000], [0.000, 0.000, 6.364]], "species": ["La", "Mo", "As", "As", "O"], "fractional_positions": [[0.000, 0.000, 0.000], [0.000, 0.000, 0.500], [0.000, 0.500, 0.000], [0.500, 0.000, 0.000], [0.500, 0.500, 0.500]]}